(1)
A relaxed structure of MnNb6In3, computed with GGA-PBE.

Computed properties:
DOS at the Fermi energy ... 9.30 states/eV/cell
Calculated total energy ... -7.37 eV/atom
Space group ... C2/m, No. 12
Spin magnetization ... 0.000 μB per formula unit
Formation energy ... 0.410 eV/atom

Cell: 7.031 5.991 5.991 Å, 59.96 75.36 75.36°
Fractional positions:
Mn (0.500, 0.500, 0.500)
Nb (0.362, 0.121, 0.628)
Nb (0.638, 0.372, 0.879)
Nb (0.638, 0.879, 0.372)
Nb (0.362, 0.628, 0.121)
Nb (0.196, 0.687, 0.687)
Nb (0.804, 0.313, 0.313)
In (0.254, 0.166, 0.166)
In (0.746, 0.834, 0.834)
In (0.000, 0.000, 0.000)

---

(2)
A relaxed structure of MnNbInNi, computed with GGA-PBE.

Computed properties:
DOS at the Fermi energy ... 5.26 states/eV/cell
Calculated total energy ... -6.88 eV/atom
Space group ... F-43m, No. 216
Spin magnetization ... 1.703 μB per formula unit
Formation energy ... 0.058 eV/atom

Cell: 4.430 4.430 4.430 Å, 60.00 60.00 60.00°
Last column: magnetic moment on the atom in μB.
Fractional positions:
Ni (0.000, 0.000, 0.000)  0.19
Nb (0.250, 0.250, 0.250)  -0.56
Mn (0.500, 0.500, 0.500)  2.05
In (0.750, 0.750, 0.750)  -0.01